Material: La3NdDy2Se6
Method: DFT, GGA-PBE
State: relaxed

Structure (CIF):
```
data_La3NdDy2Se6
_chemical_formula_sum 'La3 Nd1 Dy2 Se6'
_symmetry_space_group_name_H-M 'P 1'
_symmetry_Int_Tables_number 1
_symmetry_space_group_name_Hall 'P 1'
_cell_length_a 7.294
_cell_length_b 7.294
_cell_length_c 7.343
_cell_angle_alpha 99.53
_cell_angle_beta 99.53
_cell_angle_gamma 120.16
loop_
_atom_site_label
_atom_site_fract_x
_atom_site_fract_y
_atom_site_fract_z
_atom_site_occupancy
La1 0.163 0.837 0.500 1
La2 0.837 0.163 0.500 1
La3 0.500 0.500 0.500 1
Nd1 0.000 0.000 0.000 1
Dy1 0.333 0.667 0.000 1
Dy2 0.667 0.333 0.000 1
Se1 0.921 0.579 0.763 1
Se2 0.736 0.736 0.233 1
Se3 0.079 0.421 0.237 1
Se4 0.579 0.921 0.763 1
Se5 0.264 0.264 0.767 1
Se6 0.421 0.079 0.237 1
```

Values from the calculation:
DOS at the Fermi energy: 6.389 states/eV/cell
total magnetization: 0.000 μB/atom
mass density: 7.09 g/cm³
space-group type: C2/m
formation energy without anion corrections: -1.896 eV/atom